[1]
## Be5P (PBE)

Data for Be5P after structural relaxation.

POSCAR file:
```
Be5P
1.0
1.655 -5.107 0.000
1.655 5.107 0.000
0.000 0.000 3.273
Be P
5 1
Direct
0.826 0.174 0.000
0.174 0.826 0.000
0.678 0.322 0.500
0.322 0.678 0.500
0.000 0.000 0.500
0.500 0.500 0.000
```

Calculated values
Energy relative to the lowest polymorph listed for this composition in eV per formula unit: 0.00
Size of the total moment in μB per cell: 0.00
Formation energy in eV/atom: 0.25

=====

[2]
## BeP2 (PBE)

Data for BeP2 after structural relaxation.

POSCAR file:
```
BeP2
1.0
2.171 3.193 2.600
-4.309 0.967 -1.473
-0.431 -3.744 2.732
P Be
4 2
Direct
0.137 0.363 0.500
0.863 0.637 0.500
0.637 0.137 0.775
0.363 0.863 0.225
0.250 0.250 0.000
0.750 0.750 0.000
```

Calculated values
Energy relative to the lowest polymorph listed for this composition in eV per formula unit: 2.15
Size of the total moment in μB per cell: 0.00
Formation energy in eV/atom: 0.39

=====

[3]
## BeP (PBE)

Data for BeP after structural relaxation.

POSCAR file:
```
BeP
1.0
-1.412 2.276 -0.987
-1.769 -1.720 -1.435
-1.739 -0.098 2.261
P Be
1 1
Direct
0.500 0.500 0.500
0.000 0.000 0.000
```

Calculated values
Energy relative to the lowest polymorph listed for this composition in eV per formula unit: 1.59
Size of the total moment in μB per cell: 0.00
Formation energy in eV/atom: 0.55

=====

[4]
## Be3P5 (PBE)

Data for Be3P5 after structural relaxation.

POSCAR file:
```
Be3P5
1.0
-1.531 -0.132 -5.834
-3.706 -2.289 4.175
-1.521 3.064 0.330
P Be
5 3
Direct
0.726 0.726 0.500
0.500 0.000 0.000
0.000 0.000 0.000
0.274 0.274 0.500
0.000 0.500 0.000
0.674 0.326 0.500
0.326 0.674 0.500
0.500 0.500 0.000
```

Calculated values
Size of the total moment in μB per cell: 0.00
Formation energy in eV/atom: 0.44

=====

[5]
## BeP (PBE)

Data for BeP after structural relaxation.

POSCAR file:
```
BeP
1.0
1.754 4.898 0.014
-1.754 4.898 0.014
0.000 3.931 4.814
P Be
3 3
Direct
0.021 0.021 0.656
0.370 0.370 0.307
0.695 0.695 0.950
0.383 0.383 0.640
0.695 0.695 0.593
0.003 0.003 0.020
```

Calculated values
Energy relative to the lowest polymorph listed for this composition in eV per formula unit: 0.57
Size of the total moment in μB per cell: 0.00
Formation energy in eV/atom: 0.04

=====

[6]
## BeP (PBE)

Data for BeP after structural relaxation.

POSCAR file:
```
BeP
1.0
5.008 0.000 0.002
0.000 5.518 0.000
-2.461 0.000 4.317
Be P
4 4
Direct
0.500 0.290 0.000
0.500 0.710 0.000
0.500 0.210 0.500
0.500 0.790 0.500
0.755 0.000 0.323
0.245 0.500 0.177
0.755 0.500 0.823
0.245 0.000 0.677
```

Calculated values
Energy relative to the lowest polymorph listed for this composition in eV per formula unit: 0.00
Size of the total moment in μB per cell: 0.00
Formation energy in eV/atom: -0.24

=====

What is the formation energy in the first record? 0.25 eV/atom

=====

What is the formula in the fifth record? BeP

=====

Number 4 is which compound? Be3P5